Run a
InRe2Se: optimized geometry, GGA-PBE.

Cell: 4.031 4.504 4.423 Å, 90.00 91.93 90.00°
Atoms (fractional coordinates):
In (0.000, 0.000, 0.000)
Re (0.334, 0.500, 0.205)
Re (0.666, 0.500, 0.795)
Se (0.500, 0.000, 0.500)

Results
total magnetization	0.00	μB per formula unit
space group	No. 10

=====

Run b
InRe2Se: optimized geometry, GGA-PBE.

Cell: 3.052 3.052 8.718 Å, 90.00 90.00 120.88°
Atoms (fractional coordinates):
In (0.000, 0.000, 0.000)
Re (0.500, 0.500, 0.273)
Re (0.500, 0.500, 0.727)
Se (0.000, 0.000, 0.500)

Results
total magnetization	0.00	μB per formula unit
space group	No. 65

=====

Run c
InRe2Se: optimized geometry, GGA-PBE.

Cell: 2.919 3.763 7.151 Å, 90.00 90.00 90.00°
Atoms (fractional coordinates):
In (0.000, 0.000, 0.000)
Re (0.000, 0.000, 0.417)
Re (0.500, 0.500, 0.251)
Se (0.500, 0.500, 0.608)

Results
total magnetization	0.00	μB per formula unit
space group	No. 25

=====

Run d
InRe2Se: optimized geometry, GGA-PBE.

Cell: 4.592 4.592 5.474 Å, 101.44 101.44 37.95°
Atoms (fractional coordinates):
In (0.000, 0.000, 0.000)
Re (0.247, 0.247, 0.704)
Re (0.753, 0.753, 0.296)
Se (0.500, 0.500, 0.500)

Results
total magnetization	0.00	μB per formula unit
space group	No. 12

=====

Least stable structure: run b

=====

Run a
InRe2Se: optimized geometry, GGA-PBE.

Cell: 5.770 5.770 3.346 Å, 106.50 106.50 124.47°
Atoms (fractional coordinates):
In (0.000, 0.000, 0.000)
Re (0.000, 0.500, 0.500)
Re (0.500, 0.000, 0.500)
Se (0.500, 0.500, 0.000)

Results
total magnetization	0.00	μB per formula unit
space group	No. 12

=====

Run b
InRe2Se: optimized geometry, GGA-PBE.

Cell: 5.415 5.415 5.415 Å, 147.98 124.77 65.28°
Atoms (fractional coordinates):
In (0.000, 0.000, 0.000)
Re (0.279, 0.779, 0.500)
Re (0.721, 0.221, 0.500)
Se (0.500, 0.500, 0.000)

Results
total magnetization	0.00	μB per formula unit
space group	No. 71

=====

Run c
InRe2Se: optimized geometry, GGA-PBE.

Cell: 10.270 10.270 10.270 Å, 16.59 16.59 16.59°
Atoms (fractional coordinates):
In (0.000, 0.000, 0.000)
Re (0.483, 0.483, 0.483)
Re (0.746, 0.746, 0.746)
Se (0.211, 0.211, 0.211)

Results
total magnetization	0.00	μB per formula unit
space group	No. 160

=====

Least stable structure: run a

=====

Run a
InRe2Se: optimized geometry, GGA-PBE.

Cell: 5.664 5.664 5.664 Å, 148.55 132.21 58.34°
Atoms (fractional coordinates):
In (0.000, 0.000, 0.000)
Re (0.489, 0.489, 0.000)
Re (0.711, 0.211, 0.500)
Se (0.277, 0.777, 0.500)

Results
total magnetization	0.00	μB per formula unit
space group	No. 44

=====

Run b
InRe2Se: optimized geometry, GGA-PBE.

Cell: 4.833 4.833 4.833 Å, 127.84 127.84 76.89°
Atoms (fractional coordinates):
In (0.000, 0.000, 0.000)
Re (0.250, 0.750, 0.500)
Re (0.500, 0.500, 0.000)
Se (0.750, 0.250, 0.500)

Results
total magnetization	0.00	μB per formula unit
space group	No. 119

=====

Least stable structure: run b

=====

Run a
InRe2Se: optimized geometry, GGA-PBE.

Cell: 9.441 9.441 9.441 Å, 154.22 154.22 36.79°
Atoms (fractional coordinates):
In (0.000, 0.000, 0.000)
In (0.750, 0.250, 0.500)
Re (0.215, 0.625, 0.090)
Re (0.375, 0.465, 0.590)
Re (0.535, 0.125, 0.910)
Re (0.875, 0.785, 0.410)
Se (0.250, 0.750, 0.500)
Se (0.500, 0.500, 0.000)

Results
total magnetization	0.00	μB per formula unit
space group	No. 122

=====

Run b
InRe2Se: optimized geometry, GGA-PBE.

Cell: 2.938 4.856 4.875 Å, 90.00 90.00 90.00°
Atoms (fractional coordinates):
In (0.000, 0.000, 0.000)
Re (0.000, 0.500, 0.500)
Re (0.500, 0.500, 0.000)
Se (0.500, 0.000, 0.500)

Results
total magnetization	0.00	μB per formula unit
space group	No. 47

=====

Least stable structure: run b

=====

Run a
InReSe: optimized geometry, GGA-PBE.

Cell: 4.411 4.411 3.337 Å, 90.00 90.00 120.00°
Atoms (fractional coordinates):
In (0.000, 0.000, 0.000)
Re (0.667, 0.333, 0.500)
Se (0.333, 0.667, 0.500)

Results
total magnetization	0.00	μB per formula unit
space group	No. 187

=====

Run b
InReSe: optimized geometry, GGA-PBE.

Cell: 3.219 3.219 6.546 Å, 90.00 90.00 120.00°
Atoms (fractional coordinates):
In (0.000, 0.000, 0.000)
Re (0.667, 0.333, 0.341)
Se (0.333, 0.667, 0.592)

Results
total magnetization	0.00	μB per formula unit
space group	No. 156

=====

Run c
InReSe: optimized geometry, GGA-PBE.

Cell: 4.480 4.480 4.480 Å, 60.00 60.00 60.00°
Atoms (fractional coordinates):
In (0.000, 0.000, 0.000)
Re (0.250, 0.250, 0.250)
Se (0.500, 0.500, 0.500)

Results
total magnetization	0.00	μB per formula unit
space group	No. 216

=====

Run d
InReSe: optimized geometry, GGA-PBE.

Cell: 6.890 6.890 6.890 Å, 154.31 154.31 36.64°
Atoms (fractional coordinates):
In (0.000, 0.000, 0.000)
Re (0.337, 0.337, 0.000)
Se (0.736, 0.736, 0.000)

Results
total magnetization	0.00	μB per formula unit
space group	No. 107

=====

Least stable structure: run c

=====

Run a
In3ReSi: optimized geometry, GGA-PBE.

Cell: 5.108 5.108 5.108 Å, 90.00 90.00 90.00°
Atoms (fractional coordinates):
In (0.000, 0.000, 0.500)
In (0.000, 0.500, 0.000)
In (0.500, 0.000, 0.000)
Re (0.500, 0.500, 0.500)
Si (0.000, 0.000, 0.000)

Results
total magnetization	3.35	μB per formula unit
space group	No. 221

=====

Run b
In3ReSi: optimized geometry, GGA-PBE.

Cell: 5.215 5.215 5.215 Å, 90.00 90.00 90.00°
Atoms (fractional coordinates):
In (0.000, 0.000, 0.500)
In (0.000, 0.500, 0.000)
In (0.500, 0.000, 0.000)
Re (0.000, 0.000, 0.000)
Si (0.500, 0.500, 0.500)

Results
total magnetization	0.51	μB per formula unit
space group	No. 221

=====

Least stable structure: run a